The following is a DFT calculation (PBE) of a relaxed structure of RbNbSe2.

```
4
Lattice="4.1841 1.1848 2.5947 -0.3535 2.6457 4.3033 0.9480 -2.2462 4.4383" Properties=species:S:1:pos:R:3 pbc="T T T"
Se 1.1946 0.3961 2.8341
Se 3.5839 1.1882 8.5023
Nb 2.3893 0.7921 5.6682
Rb 0.0000 0.0000 0.0000
```

## Properties
Its theoretical density is 6.08 g/cm3. The total magnetization is 2.0 μB per cell. As for the formation energy (no corrections): -0.155 eV per atom.